Here is a relaxed structure of BaSrTa from the Alexandria database. Energies are from PBE.

Lattice parameters (Å, degrees): 3.544 3.544 9.293 90.00 90.00 120.00
Atoms (fractional coordinates):
Ba 0.000 0.000 0.000
Sr 0.667 0.333 0.420
Ta 0.333 0.667 0.705

## Properties
ΔE_f	1.04	eV per atom
total DFT energy (no corrections)	-12.34	eV for the cell shown
Fermi-level density of states	1.3814	states/eV/atom
excess energy over the best structure of this formula in the dataset	56	meV/atom



Here is a relaxed structure of FeGe2Ir from the Alexandria database. Energies are from PBE.

Lattice parameters (Å, degrees): 8.915 8.915 8.915 18.89 18.89 18.89
Atoms (fractional coordinates):
Fe 0.000 0.000 0.000
Ge 0.092 0.092 0.092
Ge 0.908 0.908 0.908
Ir 0.500 0.500 0.500

## Properties
ΔE_f	0.22	eV per atom
total DFT energy (no corrections)	-25.67	eV for the cell shown
Fermi-level density of states	0.7961	states/eV/atom



Here is a relaxed structure of CaGa12Pd4 from the Alexandria database. Energies are from PBE.

Lattice parameters (Å, degrees): 7.666 7.666 7.666 109.47 109.47 109.47
Atoms (fractional coordinates):
Ca 0.000 0.000 0.000
Ga 0.152 0.500 0.348
Ga 0.152 0.804 0.652
Ga 0.196 0.348 0.848
Ga 0.348 0.152 0.500
Ga 0.348 0.848 0.196
Ga 0.500 0.348 0.152
Ga 0.500 0.652 0.848
Ga 0.652 0.152 0.804
Ga 0.652 0.848 0.500
Ga 0.804 0.652 0.152
Ga 0.848 0.196 0.348
Ga 0.848 0.500 0.652
Pd 0.000 0.000 0.500
Pd 0.000 0.500 0.000
Pd 0.500 0.000 0.000
Pd 0.500 0.500 0.500

## Properties
ΔE_f	-0.24	eV per atom
total DFT energy (no corrections)	-63.20	eV for the cell shown
Fermi-level density of states	0.5724	states/eV/atom



Here is a relaxed structure of BaCoBr2 from the Alexandria database. Energies are from PBE.

Lattice parameters (Å, degrees): 9.297 9.297 9.297 25.34 25.34 25.34
Atoms (fractional coordinates):
Ba 0.000 0.000 0.000
Co 0.500 0.500 0.500
Br 0.118 0.118 0.118
Br 0.882 0.882 0.882

## Properties
total DFT energy (no corrections)	-13.89	eV for the cell shown
Fermi-level density of states	1.6098	states/eV/atom
excess energy over the best structure of this formula in the dataset	415	meV/atom



Here is a relaxed structure of GaFe2Ru from the Alexandria database. Energies are from PBE.

Lattice parameters (Å, degrees): 3.663 3.663 3.913 90.00 90.00 90.00
Atoms (fractional coordinates):
Ga 0.000 0.000 0.000
Fe 0.000 0.500 0.500
Fe 0.500 0.000 0.500
Ru 0.500 0.500 0.000

## Properties
ΔE_f	-0.07	eV per atom
total DFT energy (no corrections)	-29.52	eV for the cell shown
Fermi-level density of states	0.7075	states/eV/atom



Here is a relaxed structure of VCoGe3 from the Alexandria database. Energies are from PBE.

Lattice parameters (Å, degrees): 4.694 4.694 4.694 90.00 90.00 90.00
Atoms (fractional coordinates):
V 0.000 0.000 0.000
Co 0.500 0.500 0.500
Ge 0.000 0.000 0.500
Ge 0.000 0.500 0.000
Ge 0.500 0.000 0.000

## Properties
ΔE_f	0.78	eV per atom
total DFT energy (no corrections)	-26.16	eV for the cell shown
Fermi-level density of states	1.2887	states/eV/atom



Here is a relaxed structure of Ba2Tl6GaHg from the Alexandria database. Energies are from PBE.

Lattice parameters (Å, degrees): 6.493 9.741 11.175 90.00 90.00 90.00
Atoms (fractional coordinates):
Ba 0.250 0.001 0.227
Ba 0.250 0.499 0.227
Ba 0.750 0.501 0.773
Ba 0.750 0.999 0.773
Tl 0.000 0.250 0.498
Tl 0.000 0.750 0.502
Tl 0.007 0.250 0.986
Tl 0.250 0.000 0.619
Tl 0.250 0.500 0.619
Tl 0.493 0.250 0.986
Tl 0.500 0.250 0.498
Tl 0.500 0.750 0.502
Tl 0.507 0.750 0.014
Tl 0.750 0.000 0.381
Tl 0.750 0.500 0.381
Tl 0.993 0.750 0.014
Ga 0.250 0.250 0.765
Ga 0.750 0.750 0.235
Hg 0.250 0.750 0.788
Hg 0.750 0.250 0.212

## Properties
ΔE_f	-0.12	eV per atom
total DFT energy (no corrections)	-45.20	eV for the cell shown
Fermi-level density of states	0.5971	states/eV/atom



Here is a relaxed structure of KAgPt2 from the Alexandria database. Energies are from PBE.

Lattice parameters (Å, degrees): 2.772 4.930 6.087 90.00 100.86 90.00
Atoms (fractional coordinates):
K 0.000 0.000 0.000
Ag 0.500 0.000 0.500
Pt 0.321 0.500 0.696
Pt 0.679 0.500 0.304

## Properties
ΔE_f	0.19	eV per atom
total DFT energy (no corrections)	-15.28	eV for the cell shown
Fermi-level density of states	0.4841	states/eV/atom



Here is a relaxed structure of Sr2BSe from the Alexandria database. Energies are from PBE.

Lattice parameters (Å, degrees): 6.994 6.994 6.994 113.60 113.60 101.49
Atoms (fractional coordinates):
Sr 0.104 0.625 0.979
Sr 0.375 0.354 0.479
Sr 0.646 0.125 0.021
Sr 0.875 0.896 0.521
B 0.000 0.000 0.000
B 0.750 0.250 0.500
Se 0.250 0.750 0.500
Se 0.500 0.500 0.000

## Properties
total DFT energy (no corrections)	-28.40	eV for the cell shown
Fermi-level density of states	0.0030	states/eV/atom
excess energy over the best structure of this formula in the dataset	85	meV/atom



Here is a relaxed structure of Ce6ReN12 from the Alexandria database. Energies are from PBE.

Lattice parameters (Å, degrees): 6.606 6.606 6.606 98.03 98.03 98.03
Atoms (fractional coordinates):
Ce 0.108 0.641 0.795
Ce 0.205 0.892 0.359
Ce 0.359 0.205 0.892
Ce 0.641 0.795 0.108
Ce 0.795 0.108 0.641
Ce 0.892 0.359 0.205
Re 0.500 0.500 0.500
N 0.056 0.325 0.901
N 0.099 0.944 0.675
N 0.204 0.538 0.433
N 0.325 0.901 0.056
N 0.433 0.204 0.538
N 0.462 0.567 0.796
N 0.538 0.433 0.204
N 0.567 0.796 0.462
N 0.675 0.099 0.944
N 0.796 0.462 0.567
N 0.901 0.056 0.325
N 0.944 0.675 0.099

## Properties
total DFT energy (no corrections)	-160.89	eV for the cell shown
Fermi-level density of states	1.0550	states/eV/atom



Here is a relaxed structure of PrNd2SmEr5 from the Alexandria database. Energies are from PBE.

Lattice parameters (Å, degrees): 9.906 9.906 9.906 127.77 127.77 76.99
Atoms (fractional coordinates):
Pr 0.250 0.250 0.000
Pr 0.750 0.750 0.000
Nd 0.117 0.617 0.734
Nd 0.383 0.117 0.500
Nd 0.617 0.883 0.500
Nd 0.883 0.383 0.266
Sm 0.250 0.750 0.500
Sm 0.750 0.250 0.500
Er 0.000 0.000 0.000
Er 0.072 0.153 0.500
Er 0.153 0.653 0.081
Er 0.347 0.428 0.500
Er 0.428 0.928 0.081
Er 0.500 0.500 0.000
Er 0.572 0.072 0.919
Er 0.653 0.572 0.500
Er 0.847 0.347 0.919
Er 0.928 0.847 0.500

## Properties
ΔE_f	0.25	eV per atom
total DFT energy (no corrections)	-79.15	eV for the cell shown
Fermi-level density of states	1.0629	states/eV/atom



Here is a relaxed structure of BIr3W from the Alexandria database. Energies are from PBE.

Lattice parameters (Å, degrees): 4.124 4.124 4.124 90.00 90.00 90.00
Atoms (fractional coordinates):
B 0.000 0.000 0.000
Ir 0.000 0.000 0.500
Ir 0.000 0.500 0.000
Ir 0.500 0.000 0.000
W 0.500 0.500 0.500

## Properties
ΔE_f	0.30	eV per atom
total DFT energy (no corrections)	-44.69	eV for the cell shown
Fermi-level density of states	1.0152	states/eV/atom
excess energy over the best structure of this formula in the dataset	0	meV/atom